Crystalline Li2Pr2Al5Pd at its relaxed geometry. Source: Alexandria, functional PBE.

SG: P4/mbm
DOS at the Fermi energy, states/eV/atom: 0.302
Calculated formation energy, eV per formula unit: -3.6
Volume, Å³/atom: 19.4
Electronic total energy, eV/atom: -4.086

a = 9.958 Å, b = 9.958 Å, c = 3.914 Å
α = 90.00°, β = 90.00°, γ = 90.00°
Fractional coordinates of all 20 atoms:
Li: 0.116 0.384 0.000
Li: 0.384 0.884 0.000
Li: 0.616 0.116 0.000
Li: 0.884 0.616 0.000
Pr: 0.185 0.685 0.000
Pr: 0.315 0.185 0.000
Pr: 0.685 0.815 0.000
Pr: 0.815 0.315 0.000
Al: 0.000 0.500 0.500
Al: 0.047 0.189 0.500
Al: 0.189 0.953 0.500
Al: 0.311 0.453 0.500
Al: 0.453 0.689 0.500
Al: 0.500 0.000 0.500
Al: 0.547 0.311 0.500
Al: 0.689 0.547 0.500
Al: 0.811 0.047 0.500
Al: 0.953 0.811 0.500
Pd: 0.000 0.000 0.000
Pd: 0.500 0.500 0.000

=====

Crystalline PIrCS2 at its relaxed geometry. Source: Alexandria, functional PBE.

SG: P4/mmm
DOS at the Fermi energy, states/eV/atom: 0.846
Volume, Å³/atom: 20.3
Electronic total energy, eV/atom: -4.427

a = 4.788 Å, b = 4.788 Å, c = 4.430 Å
α = 90.00°, β = 90.00°, γ = 90.00°
Fractional coordinates of all 5 atoms:
P: 0.000 0.000 0.000
Ir: 0.000 0.000 0.500
C: 0.500 0.500 0.000
S: 0.000 0.500 0.500
S: 0.500 0.000 0.500

=====

Crystalline Zr2BeBr at its relaxed geometry. Source: Alexandria, functional PBE.

SG: R-3m
DOS at the Fermi energy, states/eV/atom: 0.698
Volume, Å³/atom: 20.2
Electronic total energy, eV/atom: -5.893

a = 7.085 Å, b = 7.085 Å, c = 7.085 Å
α = 30.42°, β = 30.42°, γ = 30.42°
Fractional coordinates of all 4 atoms:
Zr: 0.229 0.229 0.229
Zr: 0.771 0.771 0.771
Be: 0.500 0.500 0.500
Br: 0.000 0.000 0.000

=====

Crystalline Dy2SnO5 at its relaxed geometry. Source: Alexandria, functional PBE.

SG: Pnma
DOS at the Fermi energy, states/eV/atom: 0.000
Volume, Å³/atom: 13.9
Electronic total energy, eV/atom: -7.603

a = 7.542 Å, b = 3.748 Å, c = 15.786 Å
α = 90.00°, β = 90.00°, γ = 90.00°
Fractional coordinates of all 32 atoms:
Dy: 0.098 0.250 0.088
Dy: 0.133 0.250 0.741
Dy: 0.367 0.750 0.241
Dy: 0.402 0.750 0.588
Dy: 0.598 0.250 0.412
Dy: 0.633 0.250 0.759
Dy: 0.867 0.750 0.259
Dy: 0.902 0.750 0.912
Sn: 0.127 0.250 0.428
Sn: 0.373 0.750 0.928
Sn: 0.627 0.250 0.072
Sn: 0.873 0.750 0.572
O: 0.088 0.750 0.655
O: 0.093 0.750 0.469
O: 0.106 0.750 0.179
O: 0.141 0.750 0.003
O: 0.191 0.750 0.830
O: 0.309 0.250 0.330
O: 0.359 0.250 0.503
O: 0.394 0.250 0.679
O: 0.407 0.250 0.969
O: 0.412 0.250 0.155
O: 0.588 0.750 0.845
O: 0.593 0.750 0.031
O: 0.606 0.750 0.321
O: 0.641 0.750 0.497
O: 0.691 0.750 0.670
O: 0.809 0.250 0.170
O: 0.859 0.250 0.997
O: 0.894 0.250 0.821
O: 0.907 0.250 0.531
O: 0.912 0.250 0.345

=====

Crystalline Ta2OsSe at its relaxed geometry. Source: Alexandria, functional PBE.

SG: I-42d
DOS at the Fermi energy, states/eV/atom: 0.943
Volume, Å³/atom: 24.1
Electronic total energy, eV/atom: -8.939

a = 7.636 Å, b = 7.636 Å, c = 7.636 Å
α = 138.62°, β = 138.62°, γ = 59.95°
Fractional coordinates of all 8 atoms:
Ta: 0.112 0.625 0.987
Ta: 0.375 0.362 0.487
Ta: 0.638 0.125 0.013
Ta: 0.875 0.888 0.513
Os: 0.000 0.000 0.000
Os: 0.750 0.250 0.500
Se: 0.250 0.750 0.500
Se: 0.500 0.500 0.000

=====

Crystalline Tb3DyTh2P6 at its relaxed geometry. Source: Alexandria, functional PBE.

SG: C2/m
DOS at the Fermi energy, states/eV/atom: 0.317
Calculated formation energy, eV per formula unit: -19.2
Volume, Å³/atom: 23.8
Electronic total energy, eV/atom: -7.086

a = 9.089 Å, b = 9.089 Å, c = 8.118 Å
α = 102.83°, β = 102.83°, γ = 25.91°
Fractional coordinates of all 12 atoms:
Tb: 0.000 0.000 0.000
Tb: 0.334 0.334 0.666
Tb: 0.666 0.666 0.334
Dy: 0.000 0.000 0.500
Th: 0.335 0.335 0.170
Th: 0.665 0.665 0.830
P: 0.166 0.166 0.086
P: 0.166 0.166 0.579
P: 0.499 0.499 0.748
P: 0.501 0.501 0.252
P: 0.834 0.834 0.421
P: 0.834 0.834 0.914

=====

Crystalline PmEr2Hf at its relaxed geometry. Source: Alexandria, functional PBE.

SG: P4/mmm
DOS at the Fermi energy, states/eV/atom: 1.384
Calculated formation energy, eV per formula unit: 0.6
Volume, Å³/atom: 28.6
Electronic total energy, eV/atom: -5.807

a = 4.841 Å, b = 4.841 Å, c = 4.873 Å
α = 90.00°, β = 90.00°, γ = 90.00°
Fractional coordinates of all 4 atoms:
Pm: 0.000 0.000 0.000
Er: 0.000 0.500 0.500
Er: 0.500 0.000 0.500
Hf: 0.500 0.500 0.000

=====

Crystalline PrPu2O6 at its relaxed geometry. Source: Alexandria, functional PBE.

SG: P-3m1
DOS at the Fermi energy, states/eV/atom: 0.904
Volume, Å³/atom: 13.5
Electronic total energy, eV/atom: -10.133

a = 3.881 Å, b = 3.881 Å, c = 9.301 Å
α = 90.00°, β = 90.00°, γ = 120.00°
Fractional coordinates of all 9 atoms:
Pr: 0.000 0.000 0.000
Pu: 0.333 0.667 0.661
Pu: 0.667 0.333 0.339
O: 0.000 0.000 0.275
O: 0.000 0.000 0.725
O: 0.333 0.667 0.420
O: 0.333 0.667 0.894
O: 0.667 0.333 0.106
O: 0.667 0.333 0.580

=====

Crystalline LuTaFeTc at its relaxed geometry. Source: Alexandria, functional PBE.

SG: F-43m
DOS at the Fermi energy, states/eV/atom: 0.908
Calculated formation energy, eV per formula unit: -0.5
Volume, Å³/atom: 16.4
Electronic total energy, eV/atom: -8.931

a = 4.526 Å, b = 4.526 Å, c = 4.526 Å
α = 60.00°, β = 60.00°, γ = 60.00°
Fractional coordinates of all 4 atoms:
Lu: 0.000 0.000 0.000
Ta: 0.500 0.500 0.500
Fe: 0.250 0.250 0.250
Tc: 0.750 0.750 0.750

=====

Crystalline Mg4CdIn2 at its relaxed geometry. Source: Alexandria, functional PBE.

SG: Cmcm
DOS at the Fermi energy, states/eV/atom: 0.326
Calculated formation energy, eV per formula unit: -0.3
Volume, Å³/atom: 23.8
Electronic total energy, eV/atom: -1.861

a = 5.027 Å, b = 5.027 Å, c = 15.121 Å
α = 90.00°, β = 90.00°, γ = 119.47°
Fractional coordinates of all 14 atoms:
Mg: 0.000 0.000 0.000
Mg: 0.000 0.000 0.500
Mg: 0.327 0.673 0.648
Mg: 0.327 0.673 0.852
Mg: 0.341 0.659 0.250
Mg: 0.659 0.341 0.750
Mg: 0.673 0.327 0.148
Mg: 0.673 0.327 0.352
Cd: 0.006 0.994 0.250
Cd: 0.994 0.006 0.750
In: 0.336 0.664 0.057
In: 0.336 0.664 0.443
In: 0.664 0.336 0.557
In: 0.664 0.336 0.943

=====

Crystalline NdIn3Au4 at its relaxed geometry. Source: Alexandria, functional PBE.

SG: R-3m
DOS at the Fermi energy, states/eV/atom: 0.311
Calculated formation energy, eV per formula unit: -3.3
Volume, Å³/atom: 22.4
Electronic total energy, eV/atom: -3.670

a = 9.762 Å, b = 9.762 Å, c = 9.762 Å
α = 27.83°, β = 27.83°, γ = 27.83°
Fractional coordinates of all 8 atoms:
Nd: 0.000 0.000 0.000
In: 0.249 0.249 0.249
In: 0.500 0.500 0.500
In: 0.751 0.751 0.751
Au: 0.126 0.126 0.126
Au: 0.388 0.388 0.388
Au: 0.612 0.612 0.612
Au: 0.874 0.874 0.874

=====

Crystalline MnFeSiGe at its relaxed geometry. Source: Alexandria, functional PBE.

SG: Cm
DOS at the Fermi energy, states/eV/atom: 0.746
Volume, Å³/atom: 12.0
Electronic total energy, eV/atom: -7.060

a = 4.524 Å, b = 4.524 Å, c = 4.138 Å
α = 104.72°, β = 104.72°, γ = 36.09°
Fractional coordinates of all 4 atoms:
Mn: 0.000 0.000 0.000
Fe: 0.765 0.765 0.386
Si: 0.261 0.261 0.887
Ge: 0.506 0.506 0.506